# PmTm2C2

PmTm2C2 after structural relaxation (GGA-PBE, the Alexandria database).

Cell lengths 3.6764, 4.9663, 6.4310 Å; angles 112.71, 106.61, 90.00 degrees
Atoms (fractional coordinates):
Pm: 0.0000 0.0000 0.0000
Tm: 0.3085 0.3085 0.6169
Tm: 0.6915 0.6915 0.3831
C: 0.6679 0.1679 0.3359
C: 0.3321 0.8321 0.6641

Output
**Energy of formation from the pure elements**: -0.213 eV per atom
**Magnetic moment**: 0.8 Bohr magnetons per cell
**Space group**: Immm